First-principles (PBE) data for LiTbSiO4 after structural relaxation, as listed in Alexandria via LeMat-Bulk.

## Properties
N(E_F) (states/eV/cell): 0.00
Formation energy (no corrections) (eV/atom): -2.9509
Total DFT energy (no corrections) (eV/atom): -7.49

Geometry as CIF:
```
data_LiTbSiO4
_chemical_formula_sum 'Li2 Tb2 Si2 O8'
_cell_length_a 5.242
_cell_length_b 5.242
_cell_length_c 6.790
_cell_angle_alpha 90.00
_cell_angle_beta 90.00
_cell_angle_gamma 113.22
_space_group_name_H-M_alt 'P 1'
_space_group_IT_number 1
loop_
_space_group_symop_operation_xyz
'x,y,z'
loop_
_atom_site_label
_atom_site_fract_x
_atom_site_fract_y
_atom_site_fract_z
Li1 0.839 0.161 0.250
Li2 0.161 0.839 0.750
Tb1 0.500 0.500 0.500
Tb2 0.500 0.500 0.000
Si1 0.145 0.855 0.250
Si2 0.855 0.145 0.750
O1 0.203 0.256 0.750
O2 0.744 0.797 0.750
O3 0.755 0.245 0.952
O4 0.755 0.245 0.548
O5 0.245 0.755 0.048
O6 0.245 0.755 0.452
O7 0.797 0.744 0.250
O8 0.256 0.203 0.250
```


First-principles (PBE) data for NaThTl2Te4 after structural relaxation, as listed in Alexandria via LeMat-Bulk.

## Properties
N(E_F) (states/eV/cell): 3.11
Formation energy (no corrections) (eV/atom): -0.7274
Total DFT energy (no corrections) (eV/atom): -3.98

Geometry as CIF:
```
data_NaThTl2Te4
_chemical_formula_sum 'Na1 Th1 Tl2 Te4'
_cell_length_a 4.518
_cell_length_b 8.233
_cell_length_c 8.153
_cell_angle_alpha 71.78
_cell_angle_beta 90.00
_cell_angle_gamma 90.00
_space_group_name_H-M_alt 'P 1'
_space_group_IT_number 1
loop_
_space_group_symop_operation_xyz
'x,y,z'
loop_
_atom_site_label
_atom_site_fract_x
_atom_site_fract_y
_atom_site_fract_z
Na1 0.500 0.500 0.000
Th1 0.000 0.500 0.500
Tl1 0.000 0.000 0.000
Tl2 0.500 0.000 0.500
Te1 0.000 0.740 0.732
Te2 0.000 0.260 0.268
Te3 0.500 0.724 0.268
Te4 0.500 0.276 0.732
```


First-principles (PBE) data for TbMgTeO6 after structural relaxation, as listed in Alexandria via LeMat-Bulk.

## Properties
N(E_F) (states/eV/cell): 10.42
Formation energy (no corrections) (eV/atom): -2.0141
Total DFT energy (no corrections) (eV/atom): -6.36

Geometry as CIF:
```
data_TbMgTeO6
_chemical_formula_sum 'Tb2 Mg2 Te2 O12'
_cell_length_a 5.307
_cell_length_b 5.307
_cell_length_c 9.662
_cell_angle_alpha 90.00
_cell_angle_beta 90.00
_cell_angle_gamma 120.00
_space_group_name_H-M_alt 'P 1'
_space_group_IT_number 1
loop_
_space_group_symop_operation_xyz
'x,y,z'
loop_
_atom_site_label
_atom_site_fract_x
_atom_site_fract_y
_atom_site_fract_z
Tb1 0.000 0.000 0.000
Tb2 0.000 0.000 0.500
Mg1 0.667 0.333 0.250
Mg2 0.333 0.667 0.750
Te1 0.333 0.667 0.250
Te2 0.667 0.333 0.750
O1 0.633 0.656 0.139
O2 0.023 0.367 0.139
O3 0.367 0.023 0.639
O4 0.977 0.633 0.861
O5 0.344 0.367 0.361
O6 0.023 0.656 0.361
O7 0.656 0.023 0.861
O8 0.633 0.977 0.361
O9 0.977 0.344 0.639
O10 0.344 0.977 0.139
O11 0.656 0.633 0.639
O12 0.367 0.344 0.861
```


First-principles (PBE) data for SrSc2Cr after structural relaxation, as listed in Alexandria via LeMat-Bulk.

## Properties
DFT formation energy (eV per atom): 0.780
N(E_F) (states/eV/cell): 5.81
Relative energy among the computed polymorphs (meV per atom): 484
Total DFT energy (no corrections) (eV/atom): -5.21

Geometry as CIF:
```
data_SrSc2Cr
_chemical_formula_sum 'Sr2 Sc4 Cr2'
_cell_length_a 7.175
_cell_length_b 7.175
_cell_length_c 7.190
_cell_angle_alpha 60.07
_cell_angle_beta 60.07
_cell_angle_gamma 90.00
_space_group_name_H-M_alt 'P 1'
_space_group_IT_number 1
loop_
_space_group_symop_operation_xyz
'x,y,z'
loop_
_atom_site_label
_atom_site_fract_x
_atom_site_fract_y
_atom_site_fract_z
Sc1 0.375 0.125 0.250
Sc2 0.375 0.625 0.250
Sc3 0.375 0.625 0.750
Sc4 0.875 0.625 0.750
Sr1 0.000 0.000 0.000
Sr2 0.750 0.250 0.500
Cr1 0.500 0.500 0.000
Cr2 0.250 0.750 0.500
```


First-principles (PBE) data for BaSi2Cl after structural relaxation, as listed in Alexandria via LeMat-Bulk.

## Properties
N(E_F) (states/eV/cell): 1.97
Formation energy (no corrections) (eV/atom): -0.5621
Relative energy among the computed polymorphs (meV per atom): 158
Total DFT energy (no corrections) (eV/atom): -4.22

Geometry as CIF:
```
data_BaSi2Cl
_chemical_formula_sum 'Ba1 Si2 Cl1'
_cell_length_a 3.954
_cell_length_b 4.480
_cell_length_c 6.862
_cell_angle_alpha 73.08
_cell_angle_beta 90.00
_cell_angle_gamma 90.00
_space_group_name_H-M_alt 'P 1'
_space_group_IT_number 1
loop_
_space_group_symop_operation_xyz
'x,y,z'
loop_
_atom_site_label
_atom_site_fract_x
_atom_site_fract_y
_atom_site_fract_z
Ba1 0.000 0.380 0.549
Cl1 0.500 0.818 0.687
Si1 0.000 0.030 0.112
Si2 0.500 0.271 0.153
```


First-principles (PBE) data for HgPt8Rh2 after structural relaxation, as listed in Alexandria via LeMat-Bulk.

## Properties
DFT formation energy (eV per atom): 0.110
N(E_F) (states/eV/cell): 15.27
Total DFT energy (no corrections) (eV/atom): -5.65

Geometry as CIF:
```
data_HgPt8Rh2
_chemical_formula_sum 'Hg1 Pt8 Rh2'
_cell_length_a 3.901
_cell_length_b 7.900
_cell_length_c 7.376
_cell_angle_alpha 122.38
_cell_angle_beta 105.35
_cell_angle_gamma 90.00
_space_group_name_H-M_alt 'P 1'
_space_group_IT_number 1
loop_
_space_group_symop_operation_xyz
'x,y,z'
loop_
_atom_site_label
_atom_site_fract_x
_atom_site_fract_y
_atom_site_fract_z
Hg1 0.500 0.000 0.000
Pt1 0.665 0.902 0.330
Pt2 0.335 0.572 0.670
Pt3 0.167 0.167 0.334
Pt4 0.000 0.278 0.000
Pt5 0.833 0.833 0.666
Pt6 0.665 0.428 0.330
Pt7 0.335 0.098 0.670
Pt8 0.000 0.722 0.000
Rh1 0.164 0.664 0.329
Rh2 0.836 0.336 0.671
```


First-principles (PBE) data for ErOF3 after structural relaxation, as listed in Alexandria via LeMat-Bulk.

## Properties
N(E_F) (states/eV/cell): 0.00
Formation energy (no corrections) (eV/atom): -3.2302
Total DFT energy (no corrections) (eV/atom): -6.26

Geometry as CIF:
```
data_ErOF3
_chemical_formula_sum 'Er4 O4 F12'
_cell_length_a 6.972
_cell_length_b 8.314
_cell_length_c 8.283
_cell_angle_alpha 117.11
_cell_angle_beta 90.00
_cell_angle_gamma 90.00
_space_group_name_H-M_alt 'P 1'
_space_group_IT_number 1
loop_
_space_group_symop_operation_xyz
'x,y,z'
loop_
_atom_site_label
_atom_site_fract_x
_atom_site_fract_y
_atom_site_fract_z
Er1 0.750 0.502 0.498
Er2 0.250 0.498 0.502
Er3 0.250 0.998 0.002
Er4 0.750 0.002 0.998
O1 0.588 0.500 0.001
O2 0.412 0.500 0.999
O3 0.088 0.000 0.499
O4 0.912 0.000 0.501
F1 0.750 0.252 0.247
F2 0.250 0.748 0.753
F3 0.250 0.248 0.253
F4 0.750 0.752 0.747
F5 0.498 0.594 0.408
F6 0.502 0.406 0.592
F7 0.998 0.906 0.092
F8 0.002 0.094 0.908
F9 0.002 0.590 0.404
F10 0.998 0.410 0.596
F11 0.502 0.910 0.096
F12 0.498 0.090 0.904
```


First-principles (PBE) data for TbInTe5Pb2 after structural relaxation, as listed in Alexandria via LeMat-Bulk.

## Properties
Formation energy (no corrections) (eV/atom): -0.6286
Total DFT energy (no corrections) (eV/atom): -4.02

Geometry as CIF:
```
data_TbInTe5Pb2
_chemical_formula_sum 'Tb2 In2 Te10 Pb4'
_cell_length_a 4.421
_cell_length_b 10.385
_cell_length_c 14.268
_cell_angle_alpha 90.00
_cell_angle_beta 90.00
_cell_angle_gamma 102.29
_space_group_name_H-M_alt 'P 1'
_space_group_IT_number 1
loop_
_space_group_symop_operation_xyz
'x,y,z'
loop_
_atom_site_label
_atom_site_fract_x
_atom_site_fract_y
_atom_site_fract_z
Tb1 0.804 0.607 0.521
Tb2 0.196 0.393 0.021
In1 0.553 0.105 0.931
In2 0.447 0.895 0.431
Te1 0.348 0.696 0.013
Te2 0.687 0.374 0.867
Te3 0.478 0.956 0.768
Te4 0.298 0.596 0.675
Te5 0.960 0.919 0.554
Te6 0.652 0.304 0.513
Te7 0.313 0.626 0.367
Te8 0.522 0.044 0.268
Te9 0.702 0.404 0.175
Te10 0.040 0.081 0.054
Pb1 0.874 0.749 0.826
Pb2 0.147 0.294 0.668
Pb3 0.126 0.251 0.326
Pb4 0.853 0.706 0.168
```